No. 1
DFT (PBE) results for a relaxed structure of SiP.

a = 5.599 Å, b = 5.599 Å, c = 7.829 Å
α = 53.89°, β = 53.89°, γ = 36.65°
Sites, in units of the cell vectors:
1 Si 0.615 0.615 0.793
2 Si 0.030 0.030 0.236
3 Si 0.768 0.768 0.937
4 P 0.372 0.372 0.478
5 P 0.953 0.953 0.019
6 P 0.428 0.428 0.705

* formation energy from raw total energies: 0.12 eV per atom
* space-group type: Cm, No. 8

---

No. 2
DFT (PBE) results for a relaxed structure of Li2AcLa2Si2.

a = 4.620 Å, b = 4.620 Å, c = 9.821 Å
α = 76.40°, β = 76.40°, γ = 60.00°
Sites, in units of the cell vectors:
1 Li 0.589 0.589 0.232
2 Li 0.411 0.411 0.768
3 La 0.134 0.134 0.597
4 La 0.866 0.866 0.403
5 Si 0.742 0.742 0.773
6 Si 0.258 0.258 0.227
7 Ac 0.000 0.000 0.000

* formation energy from raw total energies: -0.39 eV per atom
* space-group type: R-3m, No. 166

---

No. 3
DFT (PBE) results for a relaxed structure of Tb2SmTmN4.

a = 3.499 Å, b = 6.060 Å, c = 6.058 Å
α = 109.43°, β = 90.00°, γ = 90.00°
Sites, in units of the cell vectors:
1 N 0.000 0.756 0.252
2 N 0.500 0.244 0.248
3 N 0.500 0.756 0.752
4 N 0.000 0.244 0.748
5 Tb 0.000 0.500 0.500
6 Tb 0.500 0.000 0.500
7 Sm 0.500 0.500 0.000
8 Tm 0.000 0.000 0.000

* formation energy from raw total energies: -1.64 eV per atom
* space-group type: P2/m, No. 10

---

No. 4
DFT (PBE) results for a relaxed structure of Rb4Pm3VSe8.

a = 8.479 Å, b = 9.379 Å, c = 8.479 Å
α = 116.88°, β = 120.00°, γ = 90.00°
Site moments in Bohr magnetons follow the coordinates.
Sites, in units of the cell vectors:
1 Rb 0.500 0.000 0.500  0.00
2 Rb 0.000 0.000 0.000  0.00
3 Rb 0.500 0.000 0.000  0.00
4 Rb 0.000 0.000 0.500  0.00
5 Se 0.217 0.690 0.973  -0.03
6 Se 0.245 0.310 0.027  -0.03
7 Se 0.783 0.310 0.565  -0.03
8 Se 0.735 0.704 0.469  0.00
9 Se 0.783 0.310 0.027  -0.03
10 Se 0.265 0.296 0.531  0.00
11 Se 0.217 0.690 0.435  -0.03
12 Se 0.755 0.690 0.973  -0.03
13 V 0.000 0.500 0.000  1.99
14 Pm 0.500 0.500 0.500  0.01
15 Pm 0.000 0.500 0.500  0.01
16 Pm 0.500 0.500 0.000  0.01

* formation energy from raw total energies: -1.46 eV per atom
* space-group type: R-3m, No. 166

---

No. 5
DFT (PBE) results for a relaxed structure of PmNdSb.

a = 4.165 Å, b = 4.165 Å, c = 5.880 Å
α = 110.74°, β = 110.74°, γ = 90.00°
Sites, in units of the cell vectors:
1 Pm 0.936 0.936 0.872
2 Sb 0.284 0.284 0.569
3 Nd 0.630 0.630 0.259

* formation energy from raw total energies: -0.69 eV per atom
* space-group type: I4mm, No. 107
* distance to the lowest polymorph of the same formula: 166 meV/atom

---

No. 6
DFT (PBE) results for a relaxed structure of Y2TeBr.

a = 5.238 Å, b = 5.238 Å, c = 5.238 Å
α = 60.00°, β = 60.00°, γ = 60.00°
Sites, in units of the cell vectors:
1 Y 0.250 0.250 0.250
2 Y 0.750 0.750 0.750
3 Te 0.500 0.500 0.500
4 Br 0.000 0.000 0.000

* formation energy from raw total energies: -1.07 eV per atom
* space-group type: Fm-3m, No. 225
* distance to the lowest polymorph of the same formula: 100 meV/atom

---

No. 7
DFT (PBE) results for a relaxed structure of Na2CeTmTe4.

a = 4.481 Å, b = 7.768 Å, c = 7.970 Å
α = 108.94°, β = 90.00°, γ = 90.00°
Site moments in Bohr magnetons follow the coordinates.
Sites, in units of the cell vectors:
1 Te 0.000 0.266 0.768  -0.01
2 Te 0.500 0.744 0.763  -0.01
3 Te 0.000 0.734 0.232  -0.01
4 Te 0.500 0.256 0.237  -0.01
5 Ce 0.000 0.000 0.000  0.97
6 Na 0.000 0.500 0.500  0.00
7 Na 0.500 0.000 0.500  0.00
8 Tm 0.500 0.500 0.000  0.01

* formation energy from raw total energies: -1.27 eV per atom
* space-group type: P2/m, No. 10

---

No. 8
DFT (PBE) results for a relaxed structure of Li3Cd2Ga.

a = 4.562 Å, b = 7.203 Å, c = 6.603 Å
α = 90.00°, β = 90.00°, γ = 72.71°
Sites, in units of the cell vectors:
1 Li 0.500 0.000 0.759
2 Li 0.500 0.000 0.241
3 Li 0.169 0.660 0.764
4 Li 0.169 0.660 0.236
5 Li 0.831 0.340 0.236
6 Li 0.831 0.340 0.764
7 Cd 0.000 0.000 0.000
8 Cd 0.664 0.668 0.500
9 Cd 0.000 0.000 0.500
10 Cd 0.336 0.332 0.500
11 Ga 0.335 0.334 0.000
12 Ga 0.665 0.666 0.000

* space-group type: P2/m, No. 10
* distance to the lowest polymorph of the same formula: 0 meV/atom

---

No. 9
DFT (PBE) results for a relaxed structure of InGa2Rh3.

a = 3.020 Å, b = 3.020 Å, c = 9.861 Å
α = 90.00°, β = 90.00°, γ = 90.00°
Sites, in units of the cell vectors:
1 In 0.500 0.500 0.500
2 Ga 0.500 0.500 0.842
3 Ga 0.500 0.500 0.158
4 Rh 0.000 0.000 0.307
5 Rh 0.000 0.000 0.693
6 Rh 0.000 0.000 0.000

* space-group type: P4/mmm, No. 123

---

Number 1: E -5.30 eV per atom, total magnetization 0.0 Bohr magnetons per cell, DOS at the Fermi energy 0.956 states/eV/cell. Number 2: E -4.48 eV per atom, total magnetization 0.0 Bohr magnetons per cell, DOS at the Fermi energy 3.932 states/eV/cell. Number 3: E -8.11 eV per atom, total magnetization 0.0 Bohr magnetons per cell, DOS at the Fermi energy 0.231 states/eV/cell. Number 4: E -4.91 eV per atom, total magnetization 2.0 Bohr magnetons per cell, DOS at the Fermi energy 9.173 states/eV/cell. Number 5: E -5.23 eV per atom, total magnetization 0.0 Bohr magnetons per cell, DOS at the Fermi energy 3.208 states/eV/cell. Number 6: E -5.51 eV per atom, total magnetization 0.0 Bohr magnetons per cell, DOS at the Fermi energy 3.193 states/eV/cell. Number 7: E -4.47 eV per atom, total magnetization 1.0 Bohr magnetons per cell, DOS at the Fermi energy 6.369 states/eV/cell. Number 8: E -2.03 eV per atom, total magnetization 0.0 Bohr magnetons per cell, DOS at the Fermi energy 2.756 states/eV/cell. Number 9: E -5.74 eV per atom, total magnetization 0.0 Bohr magnetons per cell, DOS at the Fermi energy 2.463 states/eV/cell.